Entry 1:
MnReTc2, relaxed, DFT PBE-GGA; formation enthalpy at 0 K = 0.152 eV/atom
1.0
5.048 -0.004 -0.007
2.294 4.497 0.007
-3.236 -2.957 2.503
Tc Re Mn
2 1 1
Direct
0.507 0.507 0.000
0.993 0.993 0.000
0.250 0.750 0.500
0.750 0.250 0.500



Entry 2:
K3Sn2Cl7, relaxed, DFT PBE-GGA; E_form (uncorrected) = -1.45 eV per atom
1.0
-1.921 2.981 4.323
-5.204 -1.699 -1.141
5.265 -11.303 6.517
Sn K Cl
2 3 7
Direct
0.894 0.894 0.787
0.106 0.106 0.213
0.680 0.680 0.361
0.500 0.500 0.000
0.320 0.320 0.639
0.604 0.104 0.208
0.896 0.396 0.792
0.000 0.000 0.000
0.207 0.207 0.414
0.396 0.896 0.792
0.793 0.793 0.586
0.104 0.604 0.208



Entry 3:
SbTePdN2, relaxed, DFT PBE-GGA; E_form (uncorrected) = 1.39 eV per atom; energy relative to the lowest polymorph listed for this composition = 131 meV/atom
1.0
-3.416 2.313 0.655
-2.397 -3.366 -0.613
0.256 -1.190 5.535
Sb Pd Te N
1 1 1 2
Direct
0.500 0.500 0.500
0.000 0.000 0.000
0.000 0.000 0.500
0.500 0.000 0.000
0.000 0.500 0.000



| no. | raw total energy (eV per atom) |
| --- | --- |
| 1 | -10.435 |
| 2 | -3.466 |
| 3 | -4.429 |